1.
First-principles (PBE) data for an optimized crystal structure of Y2Zn3Ga4Ag, as listed in Alexandria.

Geometry as POSCAR:
```
Y2Zn3Ga4Ag
1.0
-0.205 1.759 3.811
-3.293 -2.433 0.946
6.629 -7.490 3.813
Ag Zn Y Ga
1 3 2 4
Direct
0.500 0.500 0.500
0.000 0.000 0.500
0.500 0.000 0.865
0.000 0.500 0.135
0.000 0.500 0.756
0.500 0.000 0.244
0.500 0.000 0.641
0.500 0.500 0.000
0.000 0.500 0.359
0.000 0.000 0.000
```

Properties
As for the total energy: -0.263 Ry per atom. Its space group is No. 115.

=====

2.
First-principles (PBE) data for an optimized crystal structure of YZnGa3Ag, as listed in Alexandria.

Geometry as POSCAR:
```
YZnGa3Ag
1.0
6.441 0.000 0.000
0.000 5.670 0.000
0.000 -2.835 6.689
Ag Ga Y Zn
2 6 2 2
Direct
0.250 0.329 0.658
0.750 0.671 0.342
0.500 0.724 0.000
0.750 0.880 0.759
0.500 0.276 0.000
0.250 0.120 0.241
0.000 0.276 0.000
0.000 0.724 0.000
0.250 0.678 0.357
0.750 0.322 0.643
0.250 0.890 0.780
0.750 0.110 0.220
```

Properties
As for the total energy: -0.250 Ry per atom. Its space group is No. 63.

=====

3.
First-principles (PBE) data for an optimized crystal structure of YZnGaAg, as listed in Alexandria.

Geometry as POSCAR:
```
YZnGaAg
1.0
-0.434 -4.528 1.456
3.448 -3.160 -0.966
2.776 -1.654 3.516
Y Zn Ga Ag
1 1 1 1
Direct
0.000 0.000 0.000
0.250 0.250 0.250
0.750 0.750 0.750
0.500 0.500 0.500
```

Properties
As for the total energy: -0.275 Ry per atom. Its space group is No. 216.

=====

Number 1: formation energy from the elements -405 meV per atom. Number 2: formation energy from the elements -120 meV per atom. Number 3: formation energy from the elements -334 meV per atom.